Crystalline KRbTl2 at its relaxed geometry, computed with PBE.

Output
- Total magnetic moment: 0.0 μB per formula unit
- Energy above the lowest structure with this stoichiometry: 91 meV per atom
- Energy of formation: 0.029 eV/atom

```
data_KRbTl2
_space_group_name_H-M_alt 'P 4/m m m'
_space_group_IT_number 123
_space_group_name_Hall '-P 4 2'
_cell_length_a 4.575
_cell_length_b 4.575
_cell_length_c 8.090
_cell_angle_alpha 90.00
_cell_angle_beta 90.00
_cell_angle_gamma 90.00
loop_
_atom_site_label
_atom_site_fract_x
_atom_site_fract_y
_atom_site_fract_z
K1 0.000 0.000 0.000
Rb1 0.000 0.000 0.500
Tl1 0.500 0.500 0.213
```



Crystalline KRbTl4 at its relaxed geometry, computed with PBE.

Output
- Total magnetic moment: 0.0 μB per formula unit
- Energy of formation: -0.085 eV/atom

```
data_KRbTl4
_space_group_name_H-M_alt 'F -4 3 m'
_space_group_IT_number 216
_space_group_name_Hall 'F -4 2 3'
_cell_length_a 9.588
_cell_length_b 9.588
_cell_length_c 9.588
_cell_angle_alpha 90.00
_cell_angle_beta 90.00
_cell_angle_gamma 90.00
loop_
_atom_site_label
_atom_site_fract_x
_atom_site_fract_y
_atom_site_fract_z
K1 0.000 0.000 0.000
Rb1 0.250 0.250 0.250
Tl1 0.125 0.125 0.625
```



Crystalline K2Rb6Tl at its relaxed geometry, computed with PBE.

Output
- Total magnetic moment: 0.0 μB per formula unit
- Energy of formation: 0.012 eV/atom

```
data_K2Rb6Tl
_space_group_name_H-M_alt 'C 1 2/c 1'
_space_group_IT_number 15
_space_group_name_Hall '-C 2yc'
_cell_length_a 12.608
_cell_length_b 19.015
_cell_length_c 11.551
_cell_angle_alpha 90.00
_cell_angle_beta 95.69
_cell_angle_gamma 90.00
loop_
_atom_site_label
_atom_site_fract_x
_atom_site_fract_y
_atom_site_fract_z
K1 0.028 0.139 0.468
Rb1 0.050 0.384 0.447
Rb2 0.195 0.288 0.797
Rb3 0.214 0.025 0.796
Tl1 0.000 0.450 0.750
```



Crystalline K2Rb2Tl at its relaxed geometry, computed with PBE.

Output
- Total magnetic moment: 0.0 μB per formula unit
- Energy above the lowest structure with this stoichiometry: 84 meV per atom
- Energy of formation: 0.068 eV/atom

```
data_K2Rb2Tl
_space_group_name_H-M_alt 'P 4/m b m'
_space_group_IT_number 127
_space_group_name_Hall '-P 4 2ab'
_cell_length_a 9.521
_cell_length_b 9.521
_cell_length_c 7.185
_cell_angle_alpha 90.00
_cell_angle_beta 90.00
_cell_angle_gamma 90.00
loop_
_atom_site_label
_atom_site_fract_x
_atom_site_fract_y
_atom_site_fract_z
K1 0.153 0.347 0.000
Rb1 0.185 0.685 0.500
Tl1 0.000 0.000 0.000
```



Crystalline K4Rb2Tl at its relaxed geometry, computed with PBE.

Output
- Total magnetic moment: 0.0 μB per formula unit
- Energy above the lowest structure with this stoichiometry: 0 meV per atom
- Energy of formation: 0.008 eV/atom

```
data_K4Rb2Tl
_space_group_name_H-M_alt 'C 1 2/m 1'
_space_group_IT_number 12
_space_group_name_Hall '-C 2y'
_cell_length_a 15.772
_cell_length_b 6.862
_cell_length_c 8.407
_cell_angle_alpha 90.00
_cell_angle_beta 94.34
_cell_angle_gamma 90.00
loop_
_atom_site_label
_atom_site_fract_x
_atom_site_fract_y
_atom_site_fract_z
K1 0.050 0.000 0.233
K2 0.116 0.500 0.632
Rb1 0.236 0.500 0.172
Tl1 0.000 0.500 0.000
```



Crystalline KRbTl2 at its relaxed geometry, computed with PBE.

Output
- Total magnetic moment: 0.0 μB per formula unit
- Energy above the lowest structure with this stoichiometry: 141 meV per atom
- Energy of formation: 0.080 eV/atom

```
data_KRbTl2
_space_group_name_H-M_alt 'R -3 m'
_space_group_IT_number 166
_space_group_name_Hall '-R 3 2"'
_cell_length_a 3.9769
_cell_length_b 3.9769
_cell_length_c 36.6632
_cell_angle_alpha 90.00
_cell_angle_beta 90.00
_cell_angle_gamma 120.00
loop_
_atom_site_label
_atom_site_fract_x
_atom_site_fract_y
_atom_site_fract_z
K1 0.0000 0.0000 0.0000
Rb1 0.0000 0.0000 0.5000
Tl1 0.0000 0.0000 0.2519
```